1.
Computed, not measured: Ho3SbO3 after structural relaxation at the GGA-PBEsol level of DFT.

Results
Spin magnetization in μB/f.u.: 0.0
Uncorrected formation energy in eV/atom: -2.92
DOS at the Fermi energy in states/eV per cell: 0.05
Electronic total energy in eV/cell: -111.21

a b c (Å): 3.8143 6.7102 10.3289
angles (deg): 82.01 79.36 73.49
With the nearest neighbours (Å) after each atom.
Fractional coordinates of all 14 atoms:
Sb 0.3808 0.5591 0.6794  8 Ho 3.13-3.35
Sb 0.6192 0.4409 0.3206  8 Ho 3.13-3.35
O 0.0633 0.0693 0.8041  3 Ho 2.18-2.22
O 0.6619 0.6888 0.9874  4 Ho 2.23-2.38
O 0.6894 0.0303 0.5908  4 Ho 2.16-2.22
O 0.3381 0.3112 0.0126  4 Ho 2.23-2.38
O 0.9367 0.9307 0.1959  3 Ho 2.18-2.22
O 0.3106 0.9697 0.4092  4 Ho 2.16-2.22
Ho 0.3447 0.1043 0.2063  4 O 2.16-2.27
Ho 0.1294 0.6411 0.1001  4 O 2.18-2.38
Ho 0.8706 0.3589 0.8999  4 O 2.18-2.38
Ho 0.8799 0.7996 0.4406  3 O 2.21-2.22
Ho 0.1201 0.2004 0.5594  3 O 2.21-2.22
Ho 0.6553 0.8957 0.7937  4 O 2.16-2.27



2.
Computed, not measured: Ho2SbO2 after structural relaxation at the GGA-PBEsol level of DFT.

Results
Spin magnetization in μB/f.u.: 0.0
Uncorrected formation energy in eV/atom: -2.80
DOS at the Fermi energy in states/eV per cell: 0.66
Electronic total energy in eV/cell: -38.95

a b c (Å): 3.7820 3.7820 7.0600
angles (deg): 105.54 105.54 90.00
With the nearest neighbours (Å) after each atom.
Fractional coordinates of all 5 atoms:
O 0.2500 0.7500 0.5000  4 Ho 2.19
O 0.7500 0.2500 0.5000  4 Ho 2.19
Sb 0.0000 0.0000 0.0000  8 Ho 3.44, 8 O 3.77, 4 Sb 3.78
Ho 0.6654 0.6654 0.3308  4 O 2.19
Ho 0.3346 0.3346 0.6692  4 O 2.19



3.
Computed, not measured: HoScO3 after structural relaxation at the GGA-PBEsol level of DFT.

Results
Spin magnetization in μB/f.u.: 0.0
Uncorrected formation energy in eV/atom: -3.61
DOS at the Fermi energy in states/eV per cell: 0.00
Electronic total energy in eV/cell: -181.49

a b c (Å): 5.3722 5.6777 7.8461
angles (deg): 90.00 90.00 90.00
With the nearest neighbours (Å) after each atom.
Fractional coordinates of all 20 atoms:
Ho 0.5209 0.5646 0.7500  4 O 2.20-2.29
Ho 0.9791 0.0646 0.7500  4 O 2.20-2.29
Ho 0.0209 0.9354 0.2500  4 O 2.20-2.29
Ho 0.4791 0.4354 0.2500  4 O 2.20-2.29
O 0.3664 0.9410 0.7500  2 Sc 2.12, 2 Ho 2.20-2.29
O 0.3102 0.6929 0.4303  2 Sc 2.07-2.09, 1 Ho 2.23
O 0.8102 0.8071 0.5697  2 Sc 2.07-2.09, 1 Ho 2.23
O 0.3102 0.6929 0.0697  2 Sc 2.07-2.09, 1 Ho 2.23
O 0.1336 0.4410 0.7500  2 Sc 2.12, 2 Ho 2.20-2.29
O 0.1898 0.1929 0.4303  2 Sc 2.07-2.09, 1 Ho 2.23
O 0.6336 0.0590 0.2500  2 Sc 2.12, 2 Ho 2.20-2.29
O 0.8664 0.5590 0.2500  2 Sc 2.12, 2 Ho 2.20-2.29
O 0.1898 0.1929 0.0697  2 Sc 2.07-2.09, 1 Ho 2.23
O 0.8102 0.8071 0.9303  2 Sc 2.07-2.09, 1 Ho 2.23
O 0.6898 0.3071 0.5697  2 Sc 2.07-2.09, 1 Ho 2.23
O 0.6898 0.3071 0.9303  2 Sc 2.07-2.09, 1 Ho 2.23
Sc 0.5000 0.0000 0.5000  6 O 2.07-2.12
Sc 0.0000 0.5000 0.0000  6 O 2.07-2.12
Sc 0.5000 0.0000 0.0000  6 O 2.07-2.12
Sc 0.0000 0.5000 0.5000  6 O 2.07-2.12



4.
Computed, not measured: Ho2Se3O9 after structural relaxation at the GGA-PBEsol level of DFT.

Results
Excess energy over the best structure of this formula in the dataset in eV/atom: 0.044
Spin magnetization in μB/f.u.: 0.0
Uncorrected formation energy in eV/atom: -1.87
DOS at the Fermi energy in states/eV per cell: 0.00
Electronic total energy in eV/cell: -189.88

a b c (Å): 8.0944 8.5012 8.5012
angles (deg): 120.00 90.00 90.00
With the nearest neighbours (Å) after each atom.
Fractional coordinates of all 28 atoms:
O 0.2500 0.5050 0.8607  1 Se 1.74
O 0.9147 0.1549 0.4152  1 Se 1.70
O 0.5853 0.5848 0.7397  1 Se 1.70
O 0.7500 0.8607 0.3558  1 Se 1.74
O 0.2500 0.3558 0.4950  1 Se 1.74
O 0.7500 0.6442 0.5050  1 Se 1.74
O 0.0853 0.8451 0.5848  1 Se 1.70
O 0.0853 0.4152 0.2603  1 Se 1.70
O 0.4147 0.8451 0.5848  1 Se 1.70
O 0.0853 0.7397 0.1549  1 Se 1.70
O 0.9147 0.5848 0.7397  1 Se 1.70
O 0.9147 0.2603 0.8451  1 Se 1.70
O 0.4147 0.4152 0.2603  1 Se 1.70
O 0.5853 0.1549 0.4152  1 Se 1.70
O 0.2500 0.1393 0.6442  1 Se 1.74
O 0.4147 0.7397 0.1549  1 Se 1.70
O 0.5853 0.2603 0.8451  1 Se 1.70
O 0.7500 0.4950 0.1393  1 Se 1.74
Ho 0.5398 0.6667 0.3333  6 O 2.16-2.31
Ho 0.4602 0.3333 0.6667  6 O 2.16-2.31
Ho 0.0398 0.3333 0.6667  6 O 2.16-2.31
Ho 0.9602 0.6667 0.3333  6 O 2.16-2.31
Se 0.2500 0.7331 0.0284  3 O 1.70-1.74
Se 0.7500 0.0284 0.2953  3 O 1.70-1.74
Se 0.2500 0.9716 0.7047  3 O 1.70-1.74
Se 0.7500 0.2669 0.9716  3 O 1.70-1.74
Se 0.2500 0.2953 0.2669  3 O 1.70-1.74
Se 0.7500 0.7047 0.7331  3 O 1.70-1.74



5.
Computed, not measured: Ho2Se3O12 after structural relaxation at the GGA-PBEsol level of DFT.

Results
Excess energy over the best structure of this formula in the dataset in eV/atom: 0.000
Spin magnetization in μB/f.u.: 0.0
Uncorrected formation energy in eV/atom: -1.59
DOS at the Fermi energy in states/eV per cell: 0.00
Electronic total energy in eV/cell: -223.01

a b c (Å): 9.5289 9.5289 9.8876
angles (deg): 61.19 61.19 60.00
With the nearest neighbours (Å) after each atom.
Fractional coordinates of all 34 atoms:
O 0.6352 0.7693 0.5882  1 Se 1.65
O 0.7307 0.8648 0.9118  1 Se 1.65
O 0.9363 0.7049 0.2790  1 Se 1.65
O 0.4363 0.5797 0.7790  1 Se 1.65
O 0.2693 0.1352 0.0882  1 Se 1.65
O 0.5073 0.2693 0.0882  1 Se 1.65
O 0.0073 0.6352 0.5882  1 Se 1.65
O 0.7951 0.5637 0.2210  1 Se 1.65
O 0.4927 0.7307 0.9118  1 Se 1.65
O 0.0797 0.9363 0.2790  1 Se 1.65
O 0.1352 0.5073 0.0882  1 Se 1.65
O 0.2951 0.9203 0.7210  1 Se 1.65
O 0.9203 0.0637 0.7210  1 Se 1.65
O 0.3648 0.2307 0.4118  1 Se 1.65
O 0.2049 0.4363 0.7790  1 Se 1.65
O 0.5637 0.4203 0.2210  1 Se 1.65
O 0.4203 0.7951 0.2210  1 Se 1.65
O 0.7693 0.0073 0.5882  1 Se 1.65
O 0.8648 0.4927 0.9118  1 Se 1.65
O 0.0637 0.2951 0.7210  1 Se 1.65
O 0.9927 0.3648 0.4118  1 Se 1.65
O 0.5797 0.2049 0.7790  1 Se 1.65
O 0.2307 0.9927 0.4118  1 Se 1.65
O 0.7049 0.0797 0.2790  1 Se 1.65
Se 0.4655 0.7500 0.7500  4 O 1.65
Se 0.2500 0.9655 0.2500  4 O 1.65
Se 0.0345 0.4655 0.7500  4 O 1.65
Se 0.7500 0.0345 0.7500  4 O 1.65
Se 0.9655 0.5345 0.2500  4 O 1.65
Se 0.5345 0.2500 0.2500  4 O 1.65
Ho 0.1440 0.1440 0.5680  6 O 2.20-2.21
Ho 0.8560 0.8560 0.4320  6 O 2.20-2.21
Ho 0.6440 0.6440 0.0680  6 O 2.20-2.21
Ho 0.3560 0.3560 0.9320  6 O 2.20-2.21



6.
Computed, not measured: Ho2Se3O9 after structural relaxation at the GGA-PBEsol level of DFT.

Results
Excess energy over the best structure of this formula in the dataset in eV/atom: 0.000
Spin magnetization in μB/f.u.: 0.0
Uncorrected formation energy in eV/atom: -1.92
DOS at the Fermi energy in states/eV per cell: 0.00
Electronic total energy in eV/cell: -191.12

a b c (Å): 6.9662 7.9477 8.8233
angles (deg): 71.80 70.56 66.46
With the nearest neighbours (Å) after each atom.
Fractional coordinates of all 28 atoms:
Ho 0.7443 0.7357 0.7935  7 O 2.18-2.41
Ho 0.3320 0.7284 0.5882  7 O 2.23-2.49
Ho 0.6680 0.2716 0.4118  7 O 2.23-2.49
Ho 0.2557 0.2643 0.2065  7 O 2.18-2.41
Se 0.4281 0.7763 0.1935  3 O 1.70-1.74
Se 0.5719 0.2237 0.8065  3 O 1.70-1.74
Se 0.8523 0.2467 0.0350  3 O 1.69-1.73
Se 0.1161 0.2415 0.5934  3 O 1.68-1.75
Se 0.8839 0.7585 0.4066  3 O 1.68-1.75
Se 0.1477 0.7533 0.9650  3 O 1.69-1.73
O 0.0688 0.6886 0.8316  1 Se 1.73
O 0.3496 0.2452 0.4409  1 Se 1.74
O 0.4105 0.7118 0.8485  1 Se 1.73
O 0.9653 0.3008 0.4496  1 Se 1.75
O 0.3448 0.2040 0.9509  1 Se 1.70
O 0.6440 0.0565 0.6915  1 Se 1.74
O 0.3560 0.9435 0.3085  1 Se 1.74
O 0.0347 0.6992 0.5504  1 Se 1.75
O 0.9312 0.3114 0.1684  1 Se 1.73
O 0.1692 0.5682 0.1250  1 Se 1.69
O 0.6504 0.7548 0.5591  1 Se 1.74
O 0.6552 0.7960 0.0491  1 Se 1.70
O 0.1497 0.0112 0.6619  1 Se 1.68
O 0.8503 0.9888 0.3381  1 Se 1.68
O 0.4830 0.4079 0.6502  1 Se 1.74
O 0.5170 0.5921 0.3498  1 Se 1.74
O 0.8308 0.4318 0.8750  1 Se 1.69
O 0.5895 0.2882 0.1515  1 Se 1.73